Record 1
Here is crystalline Cd2Sn2Sb at its relaxed geometry from Alexandria via LeMat-Bulk. Energies are from GGA-PBE.

Structure (POSCAR):
```
Cd2Sn2Sb
1.0
4.348 0.000 0.000
0.000 4.348 0.000
2.174 2.174 7.291
Sb Sn Cd
1 2 2
direct
0.000 0.000 0.000
0.750 0.250 0.500
0.250 0.750 0.500
0.406 0.406 0.189
0.594 0.594 0.811
```

## Properties
The magnetization comes out at 0.0000 μB per atom. As for the relative energy among the computed polymorphs: 90 meV per atom. The total DFT energy (no corrections) is -12.94 eV for the cell shown. For the density of states at the Fermi level, the calculation gives 0.647 states/eV/atom. Its formation energy without anion corrections is 0.204 eV/atom.

***

Record 2
Here is crystalline MnSeI at its relaxed geometry from Alexandria via LeMat-Bulk. Energies are from GGA-PBE.

Structure (POSCAR):
```
MnSeI
1.0
-2.077 1.868 2.830
3.261 -3.479 4.668
4.735 5.782 2.432
Mn Se I
2 2 2
direct
0.308 0.457 0.383
0.692 0.543 0.617
0.846 0.644 0.308
0.154 0.356 0.692
0.606 0.836 0.791
0.394 0.164 0.209
```

## Properties
The magnetization comes out at 0.9206 μB per atom. The total DFT energy (no corrections) is -29.84 eV for the cell shown. For the density of states at the Fermi level, the calculation gives 0.552 states/eV/atom. Its formation energy without anion corrections is -0.238 eV/atom.

***

Record 3
Here is crystalline AgRh2 at its relaxed geometry from Alexandria via LeMat-Bulk. Energies are from GGA-PBE.

Structure (POSCAR):
```
AgRh2
1.0
6.167 0.000 0.000
0.000 6.167 0.000
0.000 0.000 6.167
Rh Ag
8 4
direct
0.112 0.612 0.888
0.112 0.888 0.388
0.388 0.112 0.888
0.388 0.388 0.388
0.612 0.612 0.612
0.612 0.888 0.112
0.888 0.112 0.612
0.888 0.388 0.112
0.000 0.000 0.000
0.000 0.500 0.500
0.500 0.000 0.500
0.500 0.500 0.000
```

## Properties
The magnetization comes out at 0.6601 μB per atom. As for the relative energy among the computed polymorphs: 1075 meV per atom. The value obtained for the formation energy is 1.235 eV per atom. The total DFT energy (no corrections) is -55.40 eV for the cell shown. For the density of states at the Fermi level, the calculation gives 2.162 states/eV/atom.

***

Record 4
Here is crystalline SrCuRh at its relaxed geometry from Alexandria via LeMat-Bulk. Energies are from GGA-PBE.

Structure (POSCAR):
```
SrCuRh
1.0
-2.211 -2.167 -4.480
-1.177 -1.960 4.943
-1.620 4.978 1.502
Sr Cu Rh
2 2 2
direct
0.250 0.128 0.878
0.750 0.872 0.122
0.000 0.500 0.500
0.500 0.000 0.500
0.500 0.500 0.500
0.000 0.500 0.000
```

## Properties
The magnetization comes out at 0.0000 μB per atom. As for the relative energy among the computed polymorphs: 0 meV per atom. The value obtained for the formation energy is -0.203 eV per atom. The total DFT energy (no corrections) is -27.48 eV for the cell shown. For the density of states at the Fermi level, the calculation gives 0.653 states/eV/atom.

***

Record 5
Here is crystalline FeWI2 at its relaxed geometry from Alexandria via LeMat-Bulk. Energies are from GGA-PBE.

Structure (POSCAR):
```
FeWI2
1.0
-1.139 -3.793 -4.414
-3.140 -3.386 3.720
-6.880 -0.637 -1.661
I Fe W
4 2 2
direct
0.600 0.125 0.250
0.150 0.625 0.250
0.375 0.400 0.750
0.875 0.850 0.750
0.500 0.500 0.000
0.250 0.750 0.500
0.000 0.000 0.000
0.750 0.250 0.500
```

## Properties
The magnetization comes out at 0.0000 μB per atom. As for the relative energy among the computed polymorphs: 111 meV per atom. The total DFT energy (no corrections) is -37.74 eV for the cell shown. For the density of states at the Fermi level, the calculation gives 0.846 states/eV/atom. Its formation energy without anion corrections is 1.411 eV/atom.

***

Record 6
Here is crystalline SrPAu at its relaxed geometry from Alexandria via LeMat-Bulk. Energies are from GGA-PBE.

Structure (POSCAR):
```
SrPAu
1.0
-1.166 -8.002 1.094
3.410 -1.360 2.321
-1.649 1.904 3.539
Sr Au P
2 2 2
direct
0.090 0.394 0.204
0.590 0.143 0.954
0.909 0.985 0.613
0.271 0.803 0.795
0.743 0.568 0.530
0.437 0.720 0.378
```

## Properties
The magnetization comes out at 0.0000 μB per atom. The value obtained for the formation energy is -0.831 eV per atom. The total DFT energy (no corrections) is -25.72 eV for the cell shown. For the density of states at the Fermi level, the calculation gives 0.169 states/eV/atom.